## Na2CuAu2 (GGA-PBE)

Data for Na2CuAu2 after structural relaxation.

Geometry as CIF:
```
data_Na2CuAu2
_symmetry_space_group_name_H-M 'I m m m'
_symmetry_Int_Tables_number 71
_symmetry_space_group_name_Hall '-I 2 2'
_cell_length_a 4.377
_cell_length_b 5.522
_cell_length_c 9.006
_cell_angle_alpha 90.00
_cell_angle_beta 90.00
_cell_angle_gamma 90.00
loop_
_atom_site_label
_atom_site_type_symbol
_atom_site_fract_x
_atom_site_fract_y
_atom_site_fract_z
Na1 Na 0.000 0.000 0.196
Cu1 Cu 0.000 0.500 0.000
Au1 Au 0.000 0.254 0.500
```

Properties
* E above lowest polymorph: 0 meV/atom
* total DFT energy (no corrections): -28.69 eV/cell
* E_form: -0.21 eV per atom
* N(E_F): 1.74 states/eV/f.u.
* total moment: 0.00 μB per cell